A plane-wave DFT calculation with PBE was carried out for a geometry-optimized Cs2RbLiAs structure.

Properties
The formation energy is -0.8 eV/f.u.

Cell lengths 7.4563, 7.4563, 5.0551 Å; angles 90.00, 90.00, 90.00 degrees
Space group P4/mmm (No. 123)
Asymmetric unit:
Cs: 0.0000 0.5000 0.0000 x2
Rb: 0.0000 0.0000 0.5000 x1
Li: 0.5000 0.5000 0.5000 x1
As: 0.5000 0.5000 0.0000 x1